Entry 1:
MgAsPtSe2 | PBE | optimized geometry

a b c (Å): 4.8707 4.8707 4.9025
angles (deg): 90.00 90.00 90.00
Space group P4/mmm (No. 123)
Symmetry-distinct sites (fractional):
Mg  0.0000  0.0000  0.0000 x1
As  0.0000  0.0000  0.5000 x1
Pt  0.5000  0.5000  0.5000 x1
Se  0.0000  0.5000  0.0000 x2

Output
Formation energy without anion corrections   3.87 eV/f.u.
Total moment   0.00 μB/f.u.
E above lowest polymorph   2.950 eV per formula unit


Entry 2:
SrNdCuN2 | PBE | optimized geometry

a b c (Å): 5.4775 5.3786 6.8329
angles (deg): 90.00 90.08 90.00
Space group P2/c (No. 13)
Symmetry-distinct sites (fractional):
Sr  0.0000  0.0008  0.2500 x2
Nd  0.5000  0.5003  0.2500 x2
Cu  0.5000  0.0000  0.0000 x2
N  0.2791  0.2631  0.9999 x4

Output
Formation energy without anion corrections   -3.05 eV/f.u.
Total moment   0.00 μB/f.u.


Entry 3:
VHgS2 | PBE | optimized geometry

a b c (Å): 3.7786 3.7786 5.4062
angles (deg): 90.00 90.00 90.00
Space group P4/mmm (No. 123)
Symmetry-distinct sites (fractional):
V  0.0000  0.0000  0.0000 x1
Hg  0.5000  0.5000  0.5000 x1
S  0.0000  0.0000  0.5000 x1
S  0.5000  0.5000  0.0000 x1

Output
Formation energy without anion corrections   -0.61 eV/f.u.
Total moment   2.86 μB/f.u.


Entry 4:
Tb3Er8Sc | PBE | optimized geometry

a b c (Å): 7.5741 7.5741 15.1885
angles (deg): 90.00 90.00 90.00
Space group I4/mmm (No. 139)
Symmetry-distinct sites (fractional):
Tb  0.0000  0.0000  0.0000 x2
Tb  0.0000  0.5000  0.2500 x4
Er  0.2454  0.2454  0.3777 x16
Sc  0.0000  0.0000  0.5000 x2

Output
Total moment   0.00 μB/f.u.
Energy of formation   842 kJ/mol of formula units


Entry 5:
InNi2W | PBE | optimized geometry

a b c (Å): 3.9455 3.9455 16.8934
angles (deg): 90.00 90.00 90.00
Space group I-42d (No. 122)
Symmetry-distinct sites (fractional):
In  0.0000  0.0000  0.0000 x4
Ni  0.2200  0.2500  0.6250 x8
W  0.0000  0.0000  0.5000 x4

Output
Total moment   0.00 μB/f.u.
Energy of formation   279 kJ/mol of formula units


Entry 6:
Li15Ga | PBE | optimized geometry

a b c (Å): 5.9527 5.9527 9.8654
angles (deg): 90.00 90.00 120.00
Space group P-6m2 (No. 187)
Symmetry-distinct sites (fractional):
Li  0.0000  0.0000  0.0000 x1
Li  0.0023  0.5012  0.5000 x3
Li  0.3235  0.1617  0.2607 x6
Li  0.3333  0.6667  0.2415 x2
Li  0.5028  0.0057  0.0000 x3
Ga  0.0000  0.0000  0.5000 x1

Output
Total moment   0.00 μB/f.u.
Energy of formation   -60 kJ/mol of formula units


Entry 7:
LaReSiF2 | PBE | optimized geometry

a b c (Å): 4.1226 4.1226 6.1396
angles (deg): 90.00 90.00 90.00
Space group P4/mmm (No. 123)
Symmetry-distinct sites (fractional):
La  0.0000  0.0000  0.0000 x1
Re  0.0000  0.0000  0.5000 x1
Si  0.5000  0.5000  0.0000 x1
F  0.0000  0.5000  0.5000 x2

Output
Formation energy without anion corrections   -1.43 eV/f.u.
Total moment   0.00 μB/f.u.


Entry 8:
GaBiTe | PBE | optimized geometry

a b c (Å): 13.0299 4.3801 7.9186
angles (deg): 90.00 117.17 90.00
Space group Cm (No. 8)
Symmetry-distinct sites (fractional):
Ga  0.0000  0.0000  0.0000 x2
Ga  0.1296  0.5000  0.7904 x2
Bi  0.2241  0.0000  0.0310 x2
Bi  0.4407  0.5000  0.2985 x2
Te  0.1235  0.5000  0.4468 x2
Te  0.4111  0.0000  0.7583 x2

Output
Formation energy without anion corrections   -0.35 eV/f.u.
Total moment   0.00 μB/f.u.
E above lowest polymorph   0.266 eV per formula unit


Copy entry 2 word for word.
SrNdCuN2 | PBE | optimized geometry

a b c (Å): 5.4775 5.3786 6.8329
angles (deg): 90.00 90.08 90.00
Space group P2/c (No. 13)
Symmetry-distinct sites (fractional):
Sr  0.0000  0.0008  0.2500 x2
Nd  0.5000  0.5003  0.2500 x2
Cu  0.5000  0.0000  0.0000 x2
N  0.2791  0.2631  0.9999 x4

Output
Formation energy without anion corrections   -3.05 eV/f.u.
Total moment   0.00 μB/f.u.